Entry 1:
This record from the Alexandria database describes a geometry-optimized TiVTcOs structure. The functional is GGA-PBE.

Results
The total energy comes out at -10.16 eV/atom. The space group is No. 47. For the formation energy, the calculation gives -0.512 eV/atom. Its magnetization is 0.00 μB per atom. The value obtained for the density of states at the Fermi level is 1.19 states/eV per cell.

a = 3.0577 Å, b = 4.3259 Å, c = 4.3281 Å
α = 90.00°, β = 90.00°, γ = 90.00°
Sites, in units of the cell vectors:
Ti 0.0000 0.0000 0.0000
V 0.0000 0.5000 0.5000
Tc 0.5000 0.5000 0.0000
Os 0.5000 0.0000 0.5000

---

Entry 2:
This record from the Alexandria database describes a geometry-optimized TiZnTc2Os structure. The functional is GGA-PBE.

Results
The total energy comes out at -6.75 eV/atom. The space group is No. 123. For the formation energy, the calculation gives 1.478 eV/atom. Its magnetization is 0.11 μB per atom. The value obtained for the density of states at the Fermi level is 10.20 states/eV per cell.

a = 4.4524 Å, b = 4.4802 Å, c = 4.4524 Å
α = 90.00°, β = 90.00°, γ = 90.00°
Each line ends with the local moment (μB).
Sites, in units of the cell vectors:
Zn 0.0000 0.0000 0.0000  0.01
Os 0.0000 0.5000 0.0000  0.02
Tc 0.0000 0.0000 0.5000  0.24
Tc 0.5000 0.0000 0.0000  0.19
Ti 0.5000 0.5000 0.5000  0.03

---

Entry 3:
This record from the Alexandria database describes a geometry-optimized ZrTiTc2Os structure. The functional is GGA-PBE.

Results
The total energy comes out at -8.81 eV/atom. The space group is No. 123. For the formation energy, the calculation gives 0.866 eV/atom. Its magnetization is 0.00 μB per atom. The value obtained for the density of states at the Fermi level is 5.45 states/eV per cell.

a = 4.7343 Å, b = 4.5646 Å, c = 4.7343 Å
α = 90.00°, β = 90.00°, γ = 90.00°
Sites, in units of the cell vectors:
Os 0.0000 0.0000 0.0000
Tc 0.0000 0.0000 0.5000
Tc 0.5000 0.0000 0.0000
Zr 0.5000 0.5000 0.5000
Ti 0.0000 0.5000 0.0000

---

Entry 4:
This record from the Alexandria database describes a geometry-optimized TlTc2Os structure. The functional is GGA-PBE.

Results
The total energy comes out at -8.07 eV/atom. The space group is No. 99. For the formation energy, the calculation gives 0.514 eV/atom. Its magnetization is 0.00 μB per atom. The value obtained for the density of states at the Fermi level is 5.16 states/eV per cell.

a = 2.8680 Å, b = 2.8680 Å, c = 8.0092 Å
α = 90.00°, β = 90.00°, γ = 90.00°
Sites, in units of the cell vectors:
Os 0.5000 0.5000 0.7815
Tc 0.0000 0.0000 0.9965
Tc 0.5000 0.5000 0.2217
Tl 0.0000 0.0000 0.5003

---

Q: Which formula does entry 3 have?
A: ZrTiTc2Os